# 1
Material: PaHg2PdO8
Method: DFT, PBE
State: relaxed

Calculated values
symmetry	I-4m2, No. 119
uncorrected formation energy	-72.35	kJ per mole of atoms
ρ	8.26	Mg/m³

Cell: 6.149 6.149 6.149 Å, 115.19 115.19 98.56°
Site moments in Bohr magnetons follow the coordinates.
Fractional coordinates of all 12 atoms:
Hg: 0.750 0.250 0.500  0.01
O: 0.266 0.461 0.195  0.25
Pd: 0.250 0.750 0.500  0.40
O: 0.342 0.034 0.308  0.03
Hg: 0.500 0.500 0.000  0.02
Pa: 0.000 0.000 0.000  -0.03
O: 0.966 0.658 0.692  0.03
O: 0.966 0.274 0.308  0.03
O: 0.539 0.734 0.805  0.25
O: 0.266 0.070 0.805  0.25
O: 0.726 0.034 0.692  0.03
O: 0.930 0.734 0.195  0.25

# 2
Material: Pa2HgPdO8
Method: DFT, PBE
State: relaxed

Calculated values
symmetry	Cmmm, No. 65
uncorrected formation energy	-205.61	kJ per mole of atoms
ρ	8.66	Mg/m³

Cell: 4.860 4.861 7.279 Å, 90.00 90.00 90.63°
Fractional coordinates of all 12 atoms:
O: 0.198 0.802 0.207
O: 0.701 0.701 0.000
O: 0.317 0.317 0.500
O: 0.802 0.198 0.793
Pd: 0.000 0.000 0.000
Pa: 0.500 0.500 0.755
O: 0.802 0.198 0.207
O: 0.299 0.299 0.000
Pa: 0.500 0.500 0.245
O: 0.198 0.802 0.793
Hg: 0.000 0.000 0.500
O: 0.683 0.683 0.500

# 3
Material: PaHgPdO5
Method: DFT, PBE
State: relaxed

Calculated values
symmetry	C2/c, No. 15
uncorrected formation energy	-149.91	kJ per mole of atoms
ρ	7.89	Mg/m³

Cell: 5.842 5.842 8.553 Å, 99.94 99.94 110.68°
Site moments in Bohr magnetons follow the coordinates.
Fractional coordinates of all 16 atoms:
O: 0.912 0.088 0.750  0.02
O: 0.646 0.643 0.896  0.14
Hg: 0.308 0.692 0.250  0.00
Pa: 0.000 0.000 0.500  0.03
O: 0.833 0.225 0.415  0.09
Pa: 0.000 0.000 0.000  0.03
O: 0.775 0.167 0.085  0.09
O: 0.643 0.646 0.396  0.14
O: 0.167 0.775 0.585  0.09
O: 0.088 0.912 0.250  0.02
Hg: 0.692 0.308 0.750  0.00
O: 0.357 0.354 0.604  0.14
Pd: 0.653 0.347 0.250  0.46
Pd: 0.347 0.653 0.750  0.46
O: 0.225 0.833 0.915  0.09
O: 0.354 0.357 0.104  0.14

# 4
Material: PaHgPdO4
Method: DFT, PBE
State: relaxed

Calculated values
symmetry	Imma, No. 74
uncorrected formation energy	-170.05	kJ per mole of atoms
ρ	8.54	Mg/m³

Cell: 5.709 7.406 6.984 Å, 118.13 90.00 112.67°
Fractional coordinates of all 14 atoms:
Pa: 0.500 0.000 0.000
O: 0.749 0.048 0.774
O: 0.689 0.378 0.250
Pa: 0.500 0.000 0.500
O: 0.311 0.622 0.372
Pd: 0.000 0.500 0.500
Pd: 0.500 0.500 0.500
Hg: 0.192 0.384 0.942
O: 0.311 0.622 0.750
O: 0.701 0.952 0.226
O: 0.251 0.952 0.226
O: 0.299 0.048 0.774
Hg: 0.808 0.616 0.058
O: 0.689 0.378 0.628

# 5
Material: PaHgPdO6
Method: DFT, PBE
State: relaxed

Calculated values
symmetry	P-31c, No. 163
uncorrected formation energy	-137.14	kJ per mole of atoms
ρ	8.23	Mg/m³

Cell: 5.519 5.519 9.702 Å, 90.00 90.00 120.00°
Fractional coordinates of all 18 atoms:
O: 0.367 0.348 0.365
Pd: 0.333 0.667 0.750
O: 0.348 0.367 0.865
O: 0.981 0.633 0.365
O: 0.367 0.019 0.135
Pa: 0.333 0.667 0.250
O: 0.652 0.633 0.135
O: 0.019 0.652 0.865
Hg: 0.000 0.000 0.500
Hg: 0.000 0.000 0.000
O: 0.633 0.652 0.635
O: 0.981 0.348 0.135
O: 0.019 0.367 0.635
Pd: 0.667 0.333 0.250
O: 0.348 0.981 0.635
O: 0.633 0.981 0.865
O: 0.652 0.019 0.365
Pa: 0.667 0.333 0.750

# 6
Material: PmPaHg2O6
Method: DFT, PBE
State: relaxed

Calculated values
symmetry	C2/m, No. 12
uncorrected formation energy	-208.61	kJ per mole of atoms
ρ	9.18	Mg/m³

Cell: 5.847 6.296 6.085 Å, 121.15 119.01 90.00°
Fractional coordinates of all 10 atoms:
O: 0.579 0.238 0.476
Pm: 0.000 0.500 0.000
O: 0.182 0.163 0.838
Hg: 0.778 0.748 0.496
O: 0.818 0.837 0.162
O: 0.818 0.325 0.162
Pa: 0.500 0.000 0.000
Hg: 0.222 0.252 0.504
O: 0.421 0.762 0.524
O: 0.182 0.675 0.838

# 7
Material: PmPa2HgO8
Method: DFT, PBE
State: relaxed

Calculated values
symmetry	I-4m2, No. 119
uncorrected formation energy	-271.23	kJ per mole of atoms
ρ	9.43	Mg/m³

Cell: 5.507 5.507 6.684 Å, 114.33 114.33 90.00°
Fractional coordinates of all 12 atoms:
Hg: 0.750 0.250 0.500
O: 0.147 0.630 0.753
O: 0.147 0.123 0.753
Pm: 0.000 0.000 0.000
O: 0.877 0.853 0.247
Pa: 0.250 0.750 0.500
O: 0.370 0.853 0.247
O: 0.370 0.395 0.247
O: 0.605 0.630 0.753
Pa: 0.500 0.500 0.000
O: 0.605 0.123 0.753
O: 0.877 0.395 0.247

# 8
Material: PrPaHg2O8
Method: DFT, PBE
State: relaxed

Calculated values
symmetry	I-4m2, No. 119
uncorrected formation energy	-143.78	kJ per mole of atoms
ρ	7.47	Mg/m³

Cell: 6.385 6.385 6.385 Å, 109.12 109.12 110.17°
Fractional coordinates of all 12 atoms:
O: 0.260 0.429 0.168
O: 0.714 0.021 0.694
O: 0.979 0.286 0.306
Hg: 0.750 0.250 0.500
O: 0.979 0.673 0.694
O: 0.327 0.021 0.306
O: 0.260 0.092 0.832
Pr: 0.250 0.750 0.500
O: 0.908 0.740 0.168
Pa: 0.000 0.000 0.000
Hg: 0.500 0.500 0.000
O: 0.571 0.740 0.832

# 9
Material: PaHg2PtO6
Method: DFT, PBE
State: relaxed

Calculated values
symmetry	R-3, No. 148
uncorrected formation energy	-130.76	kJ per mole of atoms
ρ	10.94	Mg/m³

Cell: 5.797 5.797 5.866 Å, 60.38 60.38 60.00°
Fractional coordinates of all 10 atoms:
Pt: 0.316 0.316 0.052
O: 0.077 0.486 0.813
O: 0.147 0.007 0.291
O: 0.555 0.147 0.290
O: 0.008 0.555 0.291
Hg: 0.568 0.568 0.295
Pa: 0.816 0.816 0.552
O: 0.485 0.625 0.812
Hg: 0.064 0.064 0.808
O: 0.625 0.078 0.812

# 10
Material: PaHgPtO6
Method: DFT, PBE
State: relaxed

Calculated values
symmetry	P-31c, No. 163
uncorrected formation energy	-145.31	kJ per mole of atoms
ρ	9.24	Mg/m³

Cell: 5.538 5.538 9.783 Å, 90.00 90.00 120.00°
Fractional coordinates of all 18 atoms:
O: 0.979 0.348 0.136
O: 0.368 0.348 0.364
O: 0.979 0.632 0.364
Hg: 0.000 0.000 0.500
O: 0.652 0.632 0.136
O: 0.021 0.652 0.864
Pa: 0.667 0.333 0.750
Hg: 0.000 0.000 0.000
Pt: 0.333 0.667 0.750
O: 0.632 0.979 0.864
Pa: 0.333 0.667 0.250
O: 0.368 0.021 0.136
O: 0.632 0.652 0.636
Pt: 0.667 0.333 0.250
O: 0.348 0.979 0.636
O: 0.348 0.368 0.864
O: 0.652 0.021 0.364
O: 0.021 0.368 0.636

# 11
Material: Rb3PaHg2O6
Method: DFT, PBE
State: relaxed

Calculated values
symmetry	P-3m1, No. 164
uncorrected formation energy	-158.17	kJ per mole of atoms
ρ	5.73	Mg/m³

Cell: 6.653 6.653 7.446 Å, 90.00 90.00 120.00°
Fractional coordinates of all 12 atoms:
O: 0.852 0.704 0.682
Rb: 0.667 0.333 0.281
Hg: 0.667 0.333 0.723
Hg: 0.333 0.667 0.277
O: 0.296 0.148 0.682
O: 0.704 0.852 0.318
Rb: 0.333 0.667 0.719
O: 0.148 0.852 0.318
Rb: 0.000 0.000 0.000
O: 0.148 0.296 0.318
O: 0.852 0.148 0.682
Pa: 0.000 0.000 0.500

# 12
Material: Rb4Pa3HgO12
Method: DFT, PBE
State: relaxed

Calculated values
symmetry	Im-3m, No. 229
uncorrected formation energy	-230.56	kJ per mole of atoms
ρ	6.94	Mg/m³

Cell: 7.628 7.628 7.628 Å, 109.47 109.47 109.47°
Fractional coordinates of all 20 atoms:
Pa: 0.000 0.500 0.500
Pa: 0.500 0.500 0.000
O: 0.750 0.250 0.500
O: 0.000 0.264 0.264
Pa: 0.500 0.000 0.500
Rb: 0.000 0.000 0.500
O: 0.750 0.500 0.250
Rb: 0.500 0.500 0.500
O: 0.736 0.000 0.736
Rb: 0.000 0.500 0.000
Hg: 0.000 0.000 0.000
Rb: 0.500 0.000 0.000
O: 0.736 0.736 0.000
O: 0.500 0.250 0.750
O: 0.500 0.750 0.250
O: 0.264 0.000 0.264
O: 0.264 0.264 0.000
O: 0.250 0.500 0.750
O: 0.250 0.750 0.500
O: 0.000 0.736 0.736